A plane-wave DFT calculation with GGA-PBE was carried out for CdAgW after structural relaxation.

The structure belongs to space group F-43m (No. 216); the cell edges are 6.266, 6.266 and 6.266 Å and the angles 90.00°, 90.00° and 90.00°. The distinct sites, in fractional coordinates, are Cd at (0.000, 0.000, 0.000), Ag at (0.250, 0.250, 0.250) and W at (0.000, 0.000, 0.500).

The calculation puts the final energy at -50.36 eV for the cell shown. The polymorph energy (0 for the lowest one) comes out at 0 meV per atom. The formation energy comes out at 1.363 eV/atom.